[1]
The following is a DFT calculation (meta-GGA SCAN) of a PBEsol-optimized structure of La2Nb2N2O5.

Geometry as extended XYZ:
```
22
Lattice="-3.0835 -1.0824 2.2835 -2.6106 -2.1914 -4.5640 7.2377 -10.9343 1.1102" Properties=species:S:1:pos:R:3 pbc="T T T"
La 0.6095 -5.2648 1.8077
La -2.2236 -2.7810 -0.8407
La 2.5403 -12.4571 -2.4744
La 1.9665 -8.0767 -1.1730
Nb 2.2143 -11.6523 0.9469
Nb 2.2770 -8.2704 2.6347
Nb 0.5469 -4.8629 -1.5665
Nb -1.8488 -3.5447 -4.1767
N -3.4373 -3.6963 -2.9134
N -0.9998 -5.0184 -0.2486
N 4.0098 -11.3270 0.0456
N 1.4764 -10.0853 -2.7868
O 2.0010 -13.3195 -0.1313
O 2.7719 -10.2716 2.3545
O -0.4379 -8.6427 -1.2078
O 1.0804 -10.5435 -0.0586
O 1.0981 -7.9731 1.1837
O 1.7787 -5.7356 -0.3169
O 0.2698 -6.3825 -2.6610
O 1.0719 -3.1537 -0.0474
O -0.6516 -3.4524 -2.5163
O -0.4942 -0.9196 -1.1033
```

Calculated values
- DFT total energy (eV per cell) = -464.718
- formation energy without anion corrections (eV/atom) = -2.741

***

[2]
The following is a DFT calculation (meta-GGA SCAN) of a PBEsol-optimized structure of La2Nb2N2O5.

Geometry as extended XYZ:
```
22
Lattice="7.5199 0.0038 0.0053 -3.7494 6.5390 0.0005 -3.7494 -2.1792 6.1652" Properties=species:S:1:pos:R:3 pbc="T T T"
La 3.7576 -0.0222 2.3101
La -1.8703 3.3201 2.2985
La 1.8914 3.3032 2.2746
La -3.7365 2.1782 5.4219
Nb -1.8959 -1.2141 5.3250
Nb -0.0443 2.1834 5.3298
Nb 0.0653 0.0663 2.3359
Nb 1.9170 -1.0616 5.5407
N -6.0456 3.5118 4.9972
N 0.0105 1.6828 3.4383
N 0.0105 4.3828 1.5291
N 6.0666 0.8228 1.1943
O 1.5361 0.8778 1.2117
O -3.7494 -0.4296 4.9280
O -3.7494 4.7533 1.2632
O -1.5150 3.5137 4.9396
O -3.7494 2.1646 3.0937
O -1.5226 0.9061 5.8784
O -1.4625 -0.8685 3.4108
O 0.0105 -1.6751 5.8127
O 1.4836 0.8583 5.8530
O 1.5437 -0.8766 3.3572
```

Calculated values
- DFT total energy (eV per cell) = -464.506
- formation energy without anion corrections (eV/atom) = -2.731

***

[3]
The following is a DFT calculation (meta-GGA SCAN) of a PBEsol-optimized structure of LaNbTeN2.

Geometry as extended XYZ:
```
5
Lattice="-1.2406 -2.4268 3.3109 2.7792 -3.0420 -1.1884 3.6028 2.1488 2.9250" Properties=species:S:1:pos:R:3 pbc="T T T"
N 1.3896 -1.5210 -0.5942
N -0.6203 -1.2134 1.6554
Nb 1.8014 1.0744 1.4625
Te 0.0000 0.0000 0.0000
La 2.5707 -1.6600 2.5237
```

Calculated values
- DFT total energy (eV per cell) = -125.641
- formation energy without anion corrections (eV/atom) = 1.286

***

[4]
The following is a DFT calculation (meta-GGA SCAN) of a PBEsol-optimized structure of LaNiNO2.

Geometry as extended XYZ:
```
5
Lattice="3.6090 0.0000 0.0000 0.0000 3.8952 0.0000 0.0000 0.0000 3.8952" Properties=species:S:1:pos:R:3 pbc="T T T"
Ni 0.0000 0.0000 0.0000
N 1.8045 0.0000 0.0000
O 0.0000 0.0000 1.9476
O 0.0000 1.9476 0.0000
La 1.8045 1.9476 1.9476
```

Calculated values
- DFT total energy (eV per cell) = -89.259
- formation energy without anion corrections (eV/atom) = -1.645